(1)
HfMn6, relaxed, DFT PBE-GGA; relative energy among the computed polymorphs = 0.000 eV per atom; formation energy from the elements = -0.07 eV/atom; calculated volume = 12.625 Å³ per atom; E = -9.349 eV/atom
1.0
7.804 0.000 0.000
0.000 4.675 0.000
0.000 0.000 9.690
Hf Mn
4 24
Cartesian
1.935 1.169 0.604
1.967 3.506 5.449
5.837 1.169 4.241
5.869 3.506 9.086
0.434 3.506 0.787
0.585 0.061 2.972
0.585 2.276 2.972
0.685 1.169 5.089
1.053 3.506 8.261
1.464 1.169 7.329
2.438 3.506 2.484
2.849 1.169 3.416
3.218 3.506 0.244
3.317 2.398 7.817
3.317 4.613 7.817
3.468 1.169 5.632
4.337 3.506 4.058
4.487 0.061 1.873
4.487 2.276 1.873
4.587 1.169 9.445
4.955 3.506 6.274
5.366 1.169 7.206
6.340 3.506 2.361
6.751 1.169 1.429
7.120 3.506 4.601
7.219 2.398 6.718
7.219 4.613 6.718
7.370 1.169 8.903

---

(2)
HfMn12, relaxed, DFT PBE-GGA; formation energy from the elements = -0.05 eV/atom; calculated volume = 11.816 Å³ per atom; E = -9.282 eV/atom
1.0
-4.099 4.099 2.286
4.099 -4.099 2.286
4.099 4.099 -2.286
Hf Mn
1 12
Cartesian
0.000 0.000 0.000
2.049 2.049 -1.143
2.953 0.000 0.000
2.049 -2.049 1.143
5.245 0.000 0.000
4.099 2.286 0.000
0.000 2.953 0.000
-2.049 2.049 1.143
2.286 4.099 0.000
2.049 2.049 1.143
1.813 0.000 2.286
0.000 5.245 0.000
0.000 1.813 2.286

---

(3)
Hf2Mn, relaxed, DFT PBE-GGA; formation energy from the elements = -0.11 eV/atom; calculated volume = 18.001 Å³ per atom; E = -9.798 eV/atom
1.0
0.000 6.000 6.000
6.000 0.000 6.000
6.000 6.000 0.000
Hf Mn
16 8
Cartesian
0.000 0.000 0.000
3.000 3.000 0.000
3.000 0.000 3.000
4.500 4.500 2.235
4.500 2.235 4.500
6.765 4.500 4.500
7.500 7.500 5.235
7.500 5.235 7.500
9.765 7.500 7.500
0.000 3.000 3.000
2.235 4.500 4.500
4.500 6.765 4.500
4.500 4.500 6.765
5.235 7.500 7.500
7.500 9.765 7.500
7.500 7.500 9.765
9.478 5.522 5.522
2.522 2.522 2.522
6.478 6.478 2.522
6.478 2.522 6.478
5.522 9.478 5.522
5.522 5.522 9.478
9.478 9.478 9.478
2.522 6.478 6.478

---

(4)
HfMn6, relaxed, DFT PBE-GGA; relative energy among the computed polymorphs = 0.947 eV per atom; formation energy from the elements = 0.88 eV/atom; calculated volume = 15.319 Å³ per atom; E = -8.402 eV/atom
1.0
-2.993 2.993 2.993
2.993 -2.993 2.993
2.993 2.993 -2.993
Hf Mn
1 6
Cartesian
0.000 0.000 0.000
2.993 1.496 0.000
2.993 0.000 1.496
1.496 2.993 0.000
1.496 0.000 2.993
0.000 2.993 1.496
0.000 1.496 2.993

---

(5)
Hf4Mn, relaxed, DFT PBE-GGA; formation energy from the elements = 0.40 eV/atom; calculated volume = 22.101 Å³ per atom; E = -9.392 eV/atom
1.0
4.799 0.000 0.000
0.000 4.799 0.000
0.000 0.000 4.799
Hf Mn
4 1
Cartesian
0.000 0.000 0.000
0.000 2.399 2.399
2.399 0.000 2.399
2.399 2.399 0.000
2.399 2.399 2.399

---

(6)
Hf3Mn, relaxed, DFT PBE-GGA; formation energy from the elements = 0.16 eV/atom; calculated volume = 20.188 Å³ per atom; E = -9.593 eV/atom
1.0
4.322 0.000 0.000
0.000 4.322 0.000
0.000 0.000 4.322
Hf Mn
3 1
Cartesian
0.000 0.000 2.161
0.000 2.161 0.000
2.161 0.000 0.000
2.161 2.161 2.161

---

(7)
Hf3MnMo, relaxed, DFT PBE-GGA; relative energy among the computed polymorphs = 0.000 eV per atom; formation energy from the elements = 0.70 eV/atom; calculated volume = 20.840 Å³ per atom; E = -9.273 eV/atom
1.0
4.706 0.000 0.000
0.000 4.706 0.000
0.000 0.000 4.706
Hf Mn Mo
3 1 1
Cartesian
0.000 0.000 2.353
0.000 2.353 0.000
2.353 0.000 0.000
0.000 0.000 0.000
2.353 2.353 2.353

---

(8)
Hf2Mn3Mo, relaxed, DFT PBE-GGA; formation energy from the elements = -0.22 eV/atom; calculated volume = 15.327 Å³ per atom; E = -9.930 eV/atom
1.0
2.568 1.483 4.025
-2.568 1.483 4.025
0.000 -2.965 4.025
Hf Mn Mo
2 3 1
Cartesian
0.000 0.000 1.514
0.000 0.000 10.561
-1.284 -0.741 4.025
-1.284 0.741 8.050
0.000 1.483 4.025
0.000 0.000 6.038

---

(9)
HfMn8Mo3, relaxed, DFT PBE-GGA; formation energy from the elements = -0.09 eV/atom; calculated volume = 12.793 Å³ per atom; E = -9.735 eV/atom
1.0
4.760 0.000 0.000
-2.380 4.122 0.000
0.000 0.000 7.825
Hf Mn Mo
1 8 3
Cartesian
0.000 0.000 0.000
0.000 1.337 5.364
-1.222 3.453 5.364
0.000 2.748 3.466
0.000 2.748 7.384
2.380 0.046 1.511
1.230 2.038 1.511
1.222 3.453 5.364
3.530 2.038 1.511
0.000 0.000 2.961
2.380 1.374 3.923
2.380 1.374 6.783

---

(10)
Hf2MnMo, relaxed, DFT PBE-GGA; relative energy among the computed polymorphs = 0.000 eV per atom; formation energy from the elements = -0.05 eV/atom; calculated volume = 17.241 Å³ per atom; E = -10.022 eV/atom
1.0
3.240 0.000 0.000
0.000 3.240 0.000
0.000 0.000 6.571
Hf Mn Mo
2 1 1
Cartesian
0.000 0.000 1.576
0.000 0.000 4.995
1.620 1.620 0.000
1.620 1.620 3.285

---

(11)
HfMn2Mo2, relaxed, DFT PBE-GGA; formation energy from the elements = 0.20 eV/atom; calculated volume = 15.046 Å³ per atom; E = -9.793 eV/atom
1.0
7.170 0.000 0.000
0.000 7.170 0.000
0.000 0.000 2.927
Hf Mn Mo
2 4 4
Cartesian
0.000 0.000 0.000
3.585 3.585 0.000
0.969 2.616 0.000
2.616 6.201 0.000
4.554 0.969 0.000
6.201 4.554 0.000
1.142 4.727 1.463
2.443 1.142 1.463
4.727 6.028 1.463
6.028 2.443 1.463

---

(12)
Hf2MnMo, relaxed, DFT PBE-GGA; relative energy among the computed polymorphs = 0.598 eV per atom; formation energy from the elements = 0.55 eV/atom; calculated volume = 20.069 Å³ per atom; E = -9.424 eV/atom
1.0
1.569 0.906 9.410
-1.569 0.906 9.410
0.000 -1.812 9.410
Hf Mn Mo
2 1 1
Cartesian
0.000 0.000 2.631
0.000 0.000 25.598
0.000 0.000 0.000
0.000 0.000 14.115